1.
First-principles (PBE-GGA) data for Li2CuPd3 after structural relaxation, as listed in the Alexandria database.

Lattice parameters (Å, degrees): 6.7191 6.7191 6.0018 90.00 90.00 143.09
Last column: nearest neighbours and their distance in Å.
Fractional coordinates of all 12 atoms:
Li 0.0000 0.0000 0.0000  8 Pd 2.58-2.60
Li 0.0000 0.0000 0.5000  8 Pd 2.60-2.61
Li 0.3322 0.6678 0.0000  8 Pd 2.59-2.61
Li 0.6678 0.3322 0.0000  8 Pd 2.59-2.61
Cu 0.3315 0.6685 0.5000  8 Pd 2.60-2.62
Cu 0.6685 0.3315 0.5000  8 Pd 2.60-2.62
Pd 0.1658 0.8342 0.2478  5 Li 2.58-2.60, 3 Cu 2.60-2.61
Pd 0.1658 0.8342 0.7522  5 Li 2.58-2.60, 3 Cu 2.60-2.61
Pd 0.5000 0.5000 0.2486  6 Li 2.60-2.61, 2 Cu 2.62
Pd 0.5000 0.5000 0.7514  6 Li 2.60-2.61, 2 Cu 2.62
Pd 0.8342 0.1658 0.2478  5 Li 2.58-2.60, 3 Cu 2.60-2.61
Pd 0.8342 0.1658 0.7522  5 Li 2.58-2.60, 3 Cu 2.60-2.61

Summary:
magnetization: 0.00 μB per cell
energy: -50.96 eV/cell
formation energy: -0.330 eV per atom
DOS(E_F): 2.90 states/eV/f.u.



2.
First-principles (PBE-GGA) data for Tb5Ho5Er after structural relaxation, as listed in the Alexandria database.

Lattice parameters (Å, degrees): 6.0233 6.0233 11.5034 90.00 90.00 120.00
Last column: nearest neighbours and their distance in Å.
Fractional coordinates of all 11 atoms:
Tb 0.0000 0.0000 0.0000  2 Ho 3.05
Tb 0.3333 0.6667 0.3167  9 Ho 3.53-3.68, 1 Er 3.64, 3 Tb 3.94
Tb 0.3333 0.6667 0.6833  9 Ho 3.53-3.68, 1 Er 3.64, 3 Tb 3.94
Tb 0.6667 0.3333 0.1551  7 Tb 3.57-3.94, 3 Ho 3.70, 3 Er 3.91
Tb 0.6667 0.3333 0.8449  7 Tb 3.57-3.94, 3 Ho 3.70, 3 Er 3.91
Ho 0.0000 0.0000 0.2647  1 Tb 3.05, 3 Ho 3.22
Ho 0.0000 0.0000 0.7353  1 Tb 3.05, 3 Ho 3.22
Ho 0.3354 0.1677 0.5000  6 Ho 2.99-3.22
Ho 0.8323 0.1677 0.5000  6 Ho 2.99-3.22
Ho 0.8323 0.6646 0.5000  6 Ho 2.99-3.22
Er 0.3333 0.6667 0.0000  5 Tb 3.48-3.64

Summary:
magnetization: 0.00 μB per cell
energy: -47.01 eV/cell
formation energy: 0.327 eV per atom
DOS(E_F): 20.44 states/eV/f.u.



3.
First-principles (PBE-GGA) data for Dy3YCd after structural relaxation, as listed in the Alexandria database.

Lattice parameters (Å, degrees): 6.0492 6.0492 11.2450 99.68 99.68 48.01
Last column: nearest neighbours and their distance in Å.
Fractional coordinates of all 10 atoms:
Dy 0.0220 0.0220 0.3586  3 Cd 3.25-3.41, 5 Dy 3.30-3.59, 2 Y 3.51
Dy 0.1403 0.1403 0.9484  5 Y 3.46-3.54, 7 Dy 3.50-3.64
Dy 0.2947 0.2947 0.2639  3 Cd 3.32-3.45, 6 Dy 3.38-3.64, 3 Y 3.53-3.54
Dy 0.7053 0.7053 0.7361  3 Cd 3.32-3.45, 6 Dy 3.38-3.64, 3 Y 3.53-3.54
Dy 0.8597 0.8597 0.0516  5 Y 3.46-3.54, 7 Dy 3.50-3.64
Dy 0.9780 0.9780 0.6414  3 Cd 3.25-3.41, 5 Dy 3.30-3.59, 2 Y 3.51
Y 0.4260 0.4260 0.8482  1 Cd 3.23, 10 Dy 3.46-3.54, 1 Y 3.50
Y 0.5740 0.5740 0.1518  1 Cd 3.23, 10 Dy 3.46-3.54, 1 Y 3.50
Cd 0.2872 0.2872 0.5694  2 Cd 2.95, 1 Y 3.23, 2 Dy 3.25
Cd 0.7128 0.7128 0.4306  2 Cd 2.95, 1 Y 3.23, 2 Dy 3.25

Summary:
magnetization: 0.00 μB per cell
energy: -42.63 eV/cell
formation energy: -0.026 eV per atom
DOS(E_F): 6.01 states/eV/f.u.



4.
First-principles (PBE-GGA) data for Ti2BeCl after structural relaxation, as listed in the Alexandria database.

Lattice parameters (Å, degrees): 4.3401 4.3401 4.3401 60.00 60.00 60.00
Last column: nearest neighbours and their distance in Å.
Fractional coordinates of all 4 atoms:
Ti 0.2500 0.2500 0.2500  4 Cl 2.66, 4 Be 2.66
Ti 0.7500 0.7500 0.7500  4 Be 2.66, 4 Cl 2.66
Be 0.0000 0.0000 0.0000  8 Ti 2.66
Cl 0.5000 0.5000 0.5000  8 Ti 2.66

Summary:
magnetization: 0.00 μB per cell
energy: -20.61 eV/cell
DOS(E_F): 7.26 states/eV/f.u.
uncorrected formation energy: 189 meV/atom